AcDyPdAu: relaxed, PBE.

```
16
Lattice="7.446 0.000 0.000 0.000 7.446 0.000 0.000 0.000 7.446" Properties=species:S:1:pos:R:3 pbc="T T T"
Ac 0.000 0.000 0.000
Ac 0.000 3.723 3.723
Ac 3.723 0.000 3.723
Ac 3.723 3.723 0.000
Dy 0.000 0.000 3.723
Dy 0.000 3.723 0.000
Dy 3.723 0.000 0.000
Dy 3.723 3.723 3.723
Pd 1.862 1.862 1.862
Pd 1.862 5.585 5.585
Pd 5.585 1.862 5.585
Pd 5.585 5.585 1.862
Au 1.862 1.862 5.585
Au 1.862 5.585 1.862
Au 5.585 1.862 1.862
Au 5.585 5.585 5.585
```

As for the space-group type: F-43m. The value obtained for the energy of formation is -70.65 kJ/mol of atoms.

---

Pr5Tl2Ga: relaxed, PBE.

```
8
Lattice="6.867 0.000 0.000 -3.206 6.075 0.000 -0.621 -3.765 5.720" Properties=species:S:1:pos:R:3 pbc="T T T"
Pr 0.000 0.000 0.000
Pr -0.261 -1.934 2.963
Pr -1.772 1.029 3.001
Pr 3.081 -1.952 3.074
Pr 1.833 3.103 0.190
Tl -1.592 3.012 0.156
Tl 3.365 0.028 0.272
Ga 1.605 1.087 2.910
```

As for the space-group type: P1. The value obtained for the energy of formation is -26.47 kJ/mol of atoms. The excess energy over the best structure of this formula in the dataset comes out at 8.1 kJ/mol of atoms.

---

ReC2: relaxed, PBE.

```
6
Lattice="0.000 3.058 3.058 3.058 0.000 3.058 3.058 3.058 0.000" Properties=species:S:1:pos:R:3 pbc="T T T"
Re 0.764 0.764 0.764
Re 5.351 5.351 5.351
C 3.058 1.529 1.529
C 1.529 3.058 1.529
C 1.529 1.529 3.058
C 3.058 3.058 3.058
```

As for the space-group type: Fd-3m. The value obtained for the energy of formation is 283.26 kJ/mol of atoms. The excess energy over the best structure of this formula in the dataset comes out at 240.8 kJ/mol of atoms.

---

Ag2SnH2: relaxed, PBE.

```
10
Lattice="7.451 0.000 0.000 0.000 7.451 0.000 0.000 0.000 2.831" Properties=species:S:1:pos:R:3 pbc="T T T"
Ag 0.956 2.769 0.000
Ag 2.769 6.495 0.000
Ag 4.681 0.956 0.000
Ag 6.495 4.681 0.000
Sn 0.000 0.000 0.000
Sn 3.725 3.725 0.000
H 0.714 4.439 1.416
H 3.011 0.714 1.416
H 4.439 6.736 1.416
H 6.736 3.011 1.416
```

As for the space-group type: P4/mbm. The excess energy over the best structure of this formula in the dataset comes out at 21.7 kJ/mol of atoms.

---

no.,calculated total energy (eV per atom)
1,-5.03
2,-4.23
3,-7.36
4,-2.66